[1]
Al2CuPbS4 | PBE | relaxed

Output
Density of states at the Fermi level   0.313 states/eV per atom
SG   Fmm2
ΔE_f (raw)   -0.537 eV/atom

a = 7.0401 Å, b = 6.6874 Å, c = 5.7332 Å
α = 68.56°, β = 62.15°, γ = 49.29°
Closest atoms and distances in Å follow each position.
Atoms (fractional coordinates):
Al 0.0000 0.0000 0.5000  4 S 2.35-2.40
Al 0.5000 0.5000 0.0000  4 S 2.35-2.40
Cu 0.2390 0.2390 0.7610  4 S 2.35
Pb 0.7599 0.7599 0.2401  4 S 2.80-2.87
S 0.1722 0.5825 0.4175  2 Al 2.35, 1 Cu 2.35
S 0.3137 0.8664 0.6863  1 Cu 2.35, 2 Al 2.40
S 0.5825 0.1722 0.8278  2 Al 2.35, 1 Cu 2.35
S 0.8664 0.3137 0.1336  1 Cu 2.35, 2 Al 2.40

---

[2]
Al2CuPbSe4 | PBE | relaxed

Output
Density of states at the Fermi level   0.276 states/eV per atom
SG   Fmm2
ΔE_f (raw)   -0.441 eV/atom

a = 7.3722 Å, b = 6.9762 Å, c = 6.1081 Å
α = 68.22°, β = 61.49°, γ = 50.30°
Closest atoms and distances in Å follow each position.
Atoms (fractional coordinates):
Al 0.0000 0.0000 0.5000  4 Se 2.50-2.55
Al 0.5000 0.5000 0.0000  4 Se 2.50-2.55
Cu 0.2627 0.2627 0.7373  4 Se 2.45-2.47
Pb 0.7413 0.7413 0.2587  4 Se 2.90-3.01
Se 0.1820 0.6342 0.8180  1 Cu 2.45, 2 Al 2.55
Se 0.3356 0.9203 0.0797  1 Cu 2.47, 2 Al 2.50
Se 0.6342 0.1820 0.3658  1 Cu 2.45, 2 Al 2.55
Se 0.9203 0.3356 0.6644  1 Cu 2.47, 2 Al 2.50

---

[3]
Al2CuTePb | PBE | relaxed

Output
Density of states at the Fermi level   0.199 states/eV per atom
SG   P4/mmm
ΔE_f (raw)   0.103 eV/atom

a = 4.7080 Å, b = 4.7080 Å, c = 5.5490 Å
α = 90.00°, β = 90.00°, γ = 90.00°
Closest atoms and distances in Å follow each position.
Atoms (fractional coordinates):
Al 0.0000 0.5000 0.0000  2 Cu 2.35
Al 0.5000 0.0000 0.0000  2 Cu 2.35
Cu 0.0000 0.0000 0.0000  4 Al 2.35
Te 0.5000 0.5000 0.5000  4 Pb 3.33, 8 Al 3.64
Pb 0.0000 0.0000 0.5000  2 Cu 2.77

---

no.,V (Å³/cell)
1,180.2
2,211.4
3,123.0